Computed, not measured: a geometry-optimized Y2FeSb6 structure at the PBE level of DFT.

```
9
Lattice="4.025 -6.972 0.000 4.025 6.972 0.000 0.000 0.000 3.957" Properties=species:S:1:pos:R:3 pbc="T T T"
Y 4.025 -2.324 0.000
Y 4.025 2.324 0.000
Fe 0.000 0.000 1.978
Sb 1.440 2.495 1.978
Sb 5.170 0.000 1.978
Sb 1.440 -2.495 1.978
Sb 3.088 5.348 0.000
Sb 1.875 0.000 0.000
Sb 3.088 -5.348 0.000
```

Calculated values
Total magnetic moment, Bohr magnetons per cell: 0.000
E_form (uncorrected), kJ per mole of atoms: -35.6
Mass density, g/cm³: 7.21
Energy, eV for the cell shown: -49.45